No. 1
The following is a PBE calculation of a geometry-optimized Mg2InBTe structure, from the Alexandria database.

Geometry as CIF:
```
data_Mg2InBTe
_chemical_formula_sum 'Mg2 In1 B1 Te1'
_symmetry_space_group_name_H-M 'P 4/m m m'
_symmetry_Int_Tables_number 123
_symmetry_space_group_name_Hall '-P 4 2'
_cell_length_a 5.277
_cell_length_b 5.277
_cell_length_c 5.952
_cell_angle_alpha 90.00
_cell_angle_beta 90.00
_cell_angle_gamma 90.00
loop_
_atom_site_label
_atom_site_fract_x
_atom_site_fract_y
_atom_site_fract_z
_atom_site_occupancy
Mg1 0.000 0.500 0.000 1
In1 0.000 0.000 0.000 1
B1 0.500 0.500 0.500 1
Te1 0.000 0.000 0.500 1
```

Computed properties:
E_tot ... -1.89 eV per atom
Raw formation energy ... 1260 meV/atom

***

No. 2
The following is a PBE calculation of a geometry-optimized AlVTcAu structure, from the Alexandria database.

Geometry as CIF:
```
data_AlVTcAu
_chemical_formula_sum 'Al4 V4 Tc4 Au4'
_symmetry_space_group_name_H-M 'F -4 3 m'
_symmetry_Int_Tables_number 216
_symmetry_space_group_name_Hall 'F -4 2 3'
_cell_length_a 6.212
_cell_length_b 6.212
_cell_length_c 6.212
_cell_angle_alpha 90.00
_cell_angle_beta 90.00
_cell_angle_gamma 90.00
loop_
_atom_site_label
_atom_site_fract_x
_atom_site_fract_y
_atom_site_fract_z
_atom_site_occupancy
Al1 0.000 0.000 0.000 1
V1 0.000 0.000 0.500 1
Tc1 0.250 0.250 0.750 1
Au1 0.250 0.250 0.250 1
```

Computed properties:
ΔE_f ... -15.5 kJ per mole of atoms
E_tot ... -6.79 eV per atom

***

No. 3
The following is a PBE calculation of a geometry-optimized BaSi2Mo structure, from the Alexandria database.

Geometry as CIF:
```
data_BaSi2Mo
_chemical_formula_sum 'Ba1 Si2 Mo1'
_symmetry_space_group_name_H-M 'P m m m'
_symmetry_Int_Tables_number 47
_symmetry_space_group_name_Hall '-P 2 2'
_cell_length_a 3.954
_cell_length_b 4.611
_cell_length_c 4.614
_cell_angle_alpha 90.00
_cell_angle_beta 90.00
_cell_angle_gamma 90.00
loop_
_atom_site_label
_atom_site_fract_x
_atom_site_fract_y
_atom_site_fract_z
_atom_site_occupancy
Ba1 0.000 0.000 0.000 1
Si1 0.000 0.500 0.500 1
Si2 0.500 0.000 0.500 1
Mo1 0.500 0.500 0.000 1
```

Computed properties:
E_tot ... -4.94 eV per atom
Relative energy among the computed polymorphs ... 1.092 eV/atom
Raw formation energy ... 955 meV/atom

***

No. 4
The following is a PBE calculation of a geometry-optimized Ac8TbPr4 structure, from the Alexandria database.

Geometry as CIF:
```
data_Ac8TbPr4
_chemical_formula_sum 'Ac16 Tb2 Pr8'
_symmetry_space_group_name_H-M 'C 1 2/m 1'
_symmetry_Int_Tables_number 12
_symmetry_space_group_name_Hall '-C 2y'
_cell_length_a 12.201
_cell_length_b 5.518
_cell_length_c 15.938
_cell_angle_alpha 90.00
_cell_angle_beta 94.15
_cell_angle_gamma 90.00
loop_
_atom_site_label
_atom_site_fract_x
_atom_site_fract_y
_atom_site_fract_z
_atom_site_occupancy
Ac1 0.041 0.000 0.385 1
Ac2 0.077 0.500 0.773 1
Ac3 0.192 0.000 0.926 1
Ac4 0.233 0.500 0.309 1
Tb1 0.000 0.500 0.000 1
Pr1 0.113 0.000 0.151 1
Pr2 0.152 0.500 0.538 1
```

Computed properties:
ΔE_f ... 3.1 kJ per mole of atoms
E_tot ... -4.32 eV per atom